First-principles (PBE-GGA) data for a relaxed structure of Cs3NiBr, as listed in Alexandria via LeMat-Bulk.

a b c (Å): 6.400 6.400 6.400
angles (deg): 90.00 90.00 90.00
Space group Pm-3m (No. 221)
One atom of each set of equivalent atoms:
Cs1 0.000 0.000 0.500
Ni1 0.000 0.000 0.000
Br1 0.500 0.500 0.500

Computed properties:
* energy relative to the elements, uncorrected: -0.22 eV/atom
* DOS at the Fermi energy: 0.03 states/eV per cell